An optimized crystal structure of Pm2TmIn3, computed with GGA-PBE.

a b c (Å): 3.780 3.780 11.564
angles (deg): 90.00 90.00 90.00
Fractional positions:
In 0.000 0.000 0.000
In 0.000 0.000 0.345
In 0.000 0.000 0.655
Tm 0.500 0.500 0.500
Pm 0.500 0.500 0.172
Pm 0.500 0.500 0.828

DFT formation energy	-0.48	eV/atom

=====

An optimized crystal structure of MnSiN3, computed with GGA-PBE.

a b c (Å): 3.569 3.569 3.569
angles (deg): 90.00 90.00 90.00
Last column: magnetic moment on the atom in μB.
Fractional positions:
Mn 0.500 0.500 0.500  3.83
Si 0.000 0.000 0.000  0.03
N 0.000 0.000 0.500  -0.43
N 0.000 0.500 0.000  -0.54
N 0.500 0.000 0.000  -0.41

E_tot	-37.02	eV per formula unit

=====

An optimized crystal structure of DyCdPdPt, computed with GGA-PBE.

a b c (Å): 4.793 4.793 4.793
angles (deg): 60.00 60.00 60.00
Fractional positions:
Cd 0.750 0.750 0.750
Pt 0.000 0.000 0.000
Pd 0.500 0.500 0.500
Dy 0.250 0.250 0.250

DFT formation energy	-0.82	eV/atom